#a
Below is a geometry-optimized PaCoNi structure, with properties calculated at the PBE level.

Computed properties:
space-group type: No. 216
magnetic moment: 0.000 μB per formula unit

Structure (POSCAR):
```
PaCoNi
1.0
1.583 -0.203 3.979
1.732 3.486 1.798
-2.025 1.984 3.217
Co Pa Ni
1 1 1
Direct
0.250 0.250 0.250
0.000 0.000 0.000
0.750 0.750 0.750
```

---

#b
Below is a geometry-optimized PaCoNi structure, with properties calculated at the PBE level.

Computed properties:
space-group type: No. 216
magnetic moment: 0.004 μB per formula unit

Structure (POSCAR):
```
PaCoNi
1.0
0.000 2.971 2.971
2.971 0.000 2.971
2.971 2.971 0.000
Pa Ni Co
1 1 1
Direct
0.500 0.500 0.500
0.250 0.250 0.250
0.000 0.000 0.000
```

---

The calculated energies rank the structures as follows, beginning with the most stable: #b, #a.

---

#a
Below is a geometry-optimized CoNiPbS3 structure, with properties calculated at the PBE level.

Computed properties:
space-group type: No. 63
magnetic moment: 0.008 μB per formula unit

Structure (POSCAR):
```
CoNiPbS3
1.0
6.504 -1.705 0.000
6.504 1.705 0.000
0.000 0.000 9.514
Co Pb Ni S
2 2 2 6
Direct
0.000 0.000 0.000
0.000 0.000 0.500
0.721 0.721 0.250
0.279 0.279 0.750
0.389 0.389 0.250
0.611 0.611 0.750
0.386 0.386 0.484
0.614 0.614 0.516
0.004 0.004 0.250
0.386 0.386 0.016
0.996 0.996 0.750
0.614 0.614 0.984
```

---

#b
Below is a geometry-optimized CoNiPbS3 structure, with properties calculated at the PBE level.

Computed properties:
space-group type: No. 63
magnetic moment: 0.479 μB per formula unit

Structure (POSCAR):
```
CoNiPbS3
1.0
6.624 -1.800 0.000
6.624 1.800 0.000
0.000 0.000 8.843
S Co Pb Ni
6 2 2 2
Direct
0.377 0.377 0.051
0.623 0.623 0.949
0.377 0.377 0.449
0.939 0.939 0.750
0.623 0.623 0.551
0.061 0.061 0.250
0.528 0.528 0.750
0.472 0.472 0.250
0.756 0.756 0.250
0.244 0.244 0.750
0.000 0.000 0.500
0.000 0.000 0.000
```

---

The calculated energies rank the structures as follows, beginning with the most stable: #a, #b.

---

#a
Below is a geometry-optimized CoNiPbW structure, with properties calculated at the PBE level.

Computed properties:
space-group type: No. 216
magnetic moment: 0.131 μB per formula unit

Structure (POSCAR):
```
CoNiPbW
1.0
0.000 3.096 3.096
3.096 0.000 3.096
3.096 3.096 0.000
Co Pb Ni W
1 1 1 1
Direct
0.750 0.750 0.750
0.000 0.000 0.000
0.250 0.250 0.250
0.500 0.500 0.500
```

---

#b
Below is a geometry-optimized CoNiPbW structure, with properties calculated at the PBE level.

Computed properties:
space-group type: No. 216
magnetic moment: 0.995 μB per formula unit

Structure (POSCAR):
```
CoNiPbW
1.0
0.303 -3.765 -2.301
1.589 -3.649 1.930
-2.707 -3.376 0.916
Ni W Co Pb
1 1 1 1
Direct
0.500 0.500 0.500
0.250 0.250 0.250
0.750 0.750 0.750
0.000 0.000 0.000
```

---

The calculated energies rank the structures as follows, beginning with the most stable: #a, #b.

---

#a
Below is a geometry-optimized CoNi2Pd2 structure, with properties calculated at the PBE level.

Computed properties:
space-group type: No. 139
magnetic moment: 3.945 μB per formula unit

Structure (POSCAR):
```
CoNi2Pd2
1.0
-5.855 -2.164 2.815
-5.823 2.465 2.626
4.860 -0.230 -4.818
Pd Co Ni
2 1 2
Direct
0.399 0.399 0.000
0.601 0.601 0.000
0.000 0.000 0.000
0.250 0.750 0.500
0.750 0.250 0.500
```

---

#b
Below is a geometry-optimized CoNi2Pd2 structure, with properties calculated at the PBE level.

Computed properties:
space-group type: No. 139
magnetic moment: 4.047 μB per formula unit

Structure (POSCAR):
```
CoNi2Pd2
1.0
6.073 -0.277 -0.899
4.648 -0.362 4.003
-5.489 -2.229 -1.634
Ni Pd Co
2 2 1
Direct
0.404 0.404 0.000
0.596 0.596 0.000
0.750 0.250 0.500
0.250 0.750 0.500
0.000 0.000 0.000
```

---

The calculated energies rank the structures as follows, beginning with the most stable: #a, #b.

---

#a
Below is a geometry-optimized CoSiNiPd structure, with properties calculated at the PBE level.

Computed properties:
space-group type: No. 216
magnetic moment: 1.028 μB per formula unit

Structure (POSCAR):
```
CoSiNiPd
1.0
-2.808 1.811 2.336
-2.378 2.920 -1.564
-3.961 -0.723 -0.643
Pd Co Ni Si
1 1 1 1
Direct
0.250 0.250 0.250
0.750 0.750 0.750
0.500 0.500 0.500
0.000 0.000 0.000
```

---

#b
Below is a geometry-optimized CoSiNiPd structure, with properties calculated at the PBE level.

Computed properties:
space-group type: No. 216
magnetic moment: 0.851 μB per formula unit

Structure (POSCAR):
```
CoSiNiPd
1.0
0.000 2.893 2.893
2.893 0.000 2.893
2.893 2.893 0.000
Pd Co Si Ni
1 1 1 1
Direct
0.500 0.500 0.500
0.750 0.750 0.750
0.000 0.000 0.000
0.250 0.250 0.250
```

---

The calculated energies rank the structures as follows, beginning with the most stable: #a, #b.

---

#a
Below is a geometry-optimized CoSiNiPt structure, with properties calculated at the PBE level.

Computed properties:
space-group type: No. 216
magnetic moment: 1.466 μB per formula unit

Structure (POSCAR):
```
CoSiNiPt
1.0
0.000 2.917 2.917
2.917 0.000 2.917
2.917 2.917 0.000
Ni Co Si Pt
1 1 1 1
Direct
0.750 0.750 0.750
0.500 0.500 0.500
0.000 0.000 0.000
0.250 0.250 0.250
```

---

#b
Below is a geometry-optimized CoSiNiPt structure, with properties calculated at the PBE level.

Computed properties:
space-group type: No. 216
magnetic moment: 0.012 μB per formula unit

Structure (POSCAR):
```
CoSiNiPt
1.0
3.186 0.549 2.529
1.832 3.666 0.228
-0.428 2.302 3.371
Co Si Ni Pt
1 1 1 1
Direct
0.750 0.750 0.750
0.000 0.000 0.000
0.500 0.500 0.500
0.250 0.250 0.250
```

---

The calculated energies rank the structures as follows, beginning with the most stable: #b, #a.